Record 1
Below is crystalline Sr2Li3SmBi4 at its relaxed geometry, with properties calculated at the PBE level.

- Energy relative to the elements: -668 meV/atom

Cell lengths 4.9739, 4.9739, 12.1672 Å; angles 90.00, 90.00, 90.00 degrees
Closest atoms and distances in Å follow each position.
Element x y z (fractional)
Sr 0.0000 0.5000 0.7808  8 Bi 3.65-3.84, 4 Li 3.72
Sr 0.5000 0.0000 0.2192  8 Bi 3.65-3.84, 4 Li 3.72
Bi 0.0000 0.5000 0.3463  1 Li 2.76
Bi 0.5000 0.5000 0.0000  4 Li 2.88
Bi 0.0000 0.0000 0.0000  4 Li 2.88
Bi 0.5000 0.0000 0.6537  1 Li 2.76
Li 0.5000 0.0000 0.8809  5 Bi 2.76-2.88
Li 0.0000 0.5000 0.1191  5 Bi 2.76-2.88
Li 0.0000 0.0000 0.5000  4 Bi 3.11
Sm 0.5000 0.5000 0.5000  4 Bi 3.11

***

Record 2
Below is crystalline Li2SmTm2Bi2 at its relaxed geometry, with properties calculated at the PBE level.

- Energy relative to the elements: -366 meV/atom

Cell lengths 4.8753, 4.8753, 9.2946 Å; angles 74.80, 74.80, 60.00 degrees
Closest atoms and distances in Å follow each position.
Element x y z (fractional)
Tm 0.8670 0.8670 0.3989  3 Li 3.11, 4 Bi 3.28-3.47, 3 Tm 3.34
Tm 0.1330 0.1330 0.6011  3 Li 3.11, 4 Bi 3.28-3.47, 3 Tm 3.34
Li 0.4164 0.4164 0.7509  3 Bi 2.84, 3 Tm 3.11
Li 0.5836 0.5836 0.2491  3 Bi 2.84, 3 Tm 3.11
Bi 0.2637 0.2637 0.2090  3 Li 2.84
Bi 0.7363 0.7363 0.7910  3 Li 2.84
Sm 0.0000 0.0000 0.0000  6 Bi 3.37, 2 Tm 3.53, 6 Li 3.58

***

Record 3
Below is crystalline LiSmYBi at its relaxed geometry, with properties calculated at the PBE level.

- Energy relative to the elements: -344 meV/atom

Cell lengths 5.3523, 5.3523, 5.3523 Å; angles 60.00, 60.00, 60.00 degrees
Closest atoms and distances in Å follow each position.
Element x y z (fractional)
Sm 0.2500 0.2500 0.2500  4 Bi 3.28, 4 Li 3.28
Y 0.7500 0.7500 0.7500  4 Li 3.28, 4 Bi 3.28
Li 0.5000 0.5000 0.5000  4 Sm 3.28, 4 Y 3.28
Bi 0.0000 0.0000 0.0000  4 Sm 3.28, 4 Y 3.28

***

Record 4
Below is crystalline Li2SnBi at its relaxed geometry, with properties calculated at the PBE level.

- Energy relative to the elements: 33 meV/atom

Cell lengths 6.3882, 6.3882, 6.3882 Å; angles 61.70, 145.70, 130.39 degrees
Closest atoms and distances in Å follow each position.
Element x y z (fractional)
Sn 0.0000 0.0000 0.0000  2 Li 2.74
Li 0.0000 0.7499 0.7499  1 Bi 2.74, 1 Sn 2.74
Li 0.0000 0.2501 0.2501  1 Bi 2.74, 1 Sn 2.74
Bi 0.0000 0.5000 0.5000  2 Li 2.74

***

Record 5
Below is crystalline Li2SnBi2 at its relaxed geometry, with properties calculated at the PBE level.

- Energy relative to the elements: -85 meV/atom
- Offset from the most stable computed form: 168.7 meV per atom

Cell lengths 4.7070, 4.7070, 6.8614 Å; angles 69.94, 69.94, 90.00 degrees
Closest atoms and distances in Å follow each position.
Element x y z (fractional)
Sn 0.0000 0.0000 0.0000  8 Bi 3.64, 8 Li 3.81
Bi 0.3773 0.3773 0.2453  4 Li 2.81, 1 Bi 2.94
Bi 0.6227 0.6227 0.7547  4 Li 2.81, 1 Bi 2.94
Li 0.7500 0.2500 0.5000  4 Bi 2.81
Li 0.2500 0.7500 0.5000  4 Bi 2.81

***

Record 6
Below is crystalline Li8Sn3Bi4 at its relaxed geometry, with properties calculated at the PBE level.

- Energy relative to the elements: -370 meV/atom

Cell lengths 9.8956, 9.8956, 9.8956 Å; angles 60.00, 60.00, 60.00 degrees
Closest atoms and distances in Å follow each position.
Element x y z (fractional)
Li 0.1317 0.1317 0.1317  4 Bi 2.98-3.19, 3 Sn 3.09, 3 Li 3.30
Li 0.1317 0.1317 0.6048  4 Bi 2.98-3.19, 3 Sn 3.09, 3 Li 3.30
Li 0.3952 0.8683 0.8683  4 Bi 2.98-3.19, 3 Sn 3.09, 3 Li 3.30
Li 0.6325 0.1026 0.6325  4 Bi 2.97-3.21, 3 Sn 3.09, 3 Li 3.30
Li 0.3675 0.3675 0.8974  4 Bi 2.97-3.21, 3 Sn 3.09, 3 Li 3.30
Li 0.6048 0.1317 0.1317  4 Bi 2.98-3.19, 3 Sn 3.09, 3 Li 3.30
Li 0.3675 0.8974 0.3675  4 Bi 2.97-3.21, 3 Sn 3.09, 3 Li 3.30
Li 0.8683 0.8683 0.8683  4 Bi 2.98-3.19, 3 Sn 3.09, 3 Li 3.30
Li 0.6325 0.6325 0.1026  4 Bi 2.97-3.21, 3 Sn 3.09, 3 Li 3.30
Li 0.6325 0.6325 0.6325  4 Bi 2.97-3.21, 3 Sn 3.09, 3 Li 3.30
Li 0.3675 0.3675 0.3675  4 Bi 2.97-3.21, 3 Sn 3.09, 3 Li 3.30
Li 0.8683 0.8683 0.3952  4 Bi 2.98-3.19, 3 Sn 3.09, 3 Li 3.30
Li 0.8683 0.3952 0.8683  4 Bi 2.98-3.19, 3 Sn 3.09, 3 Li 3.30
Li 0.1317 0.6048 0.1317  4 Bi 2.98-3.19, 3 Sn 3.09, 3 Li 3.30
Li 0.1026 0.6325 0.6325  4 Bi 2.97-3.21, 3 Sn 3.09, 3 Li 3.30
Li 0.8974 0.3675 0.3675  4 Bi 2.97-3.21, 3 Sn 3.09, 3 Li 3.30
Bi 0.5000 0.5000 0.0000  8 Li 2.97-2.98
Bi 0.0000 0.0000 0.5000  8 Li 2.97-2.98
Bi 0.5000 0.0000 0.0000  8 Li 2.97-2.98
Bi 0.0000 0.5000 0.5000  8 Li 2.97-2.98
Bi 0.0000 0.0000 0.0000  8 Li 3.19, 6 Sn 3.51
Bi 0.5000 0.5000 0.5000  8 Li 3.21, 6 Sn 3.49
Bi 0.0000 0.5000 0.0000  8 Li 2.97-2.98
Bi 0.5000 0.0000 0.5000  8 Li 2.97-2.98
Sn 0.2505 0.2505 0.7495  8 Li 3.09
Sn 0.2505 0.7495 0.2505  8 Li 3.09
Sn 0.7495 0.7495 0.2505  8 Li 3.09
Sn 0.7495 0.2505 0.7495  8 Li 3.09
Sn 0.2505 0.7495 0.7495  8 Li 3.09
Sn 0.7495 0.2505 0.2505  8 Li 3.09

***

Record 7
Below is crystalline LiSn2Bi at its relaxed geometry, with properties calculated at the PBE level.

- Energy relative to the elements: -56 meV/atom

Cell lengths 3.9372, 3.9372, 6.7816 Å; angles 90.00, 90.00, 90.00 degrees
Closest atoms and distances in Å follow each position.
Element x y z (fractional)
Sn 0.0000 0.0000 0.7710  1 Sn 3.11, 4 Li 3.19, 4 Bi 3.34
Sn 0.0000 0.0000 0.2290  1 Sn 3.11, 4 Li 3.19, 4 Bi 3.34
Bi 0.5000 0.5000 0.5000  8 Sn 3.34, 2 Li 3.39
Li 0.5000 0.5000 0.0000  8 Sn 3.19, 2 Bi 3.39

***

Record 8
Below is crystalline LiSn2Bi at its relaxed geometry, with properties calculated at the PBE level.

- Energy relative to the elements: 218 meV/atom

Cell lengths 7.1124, 7.1124, 7.4497 Å; angles 61.49, 61.49, 90.00 degrees
Closest atoms and distances in Å follow each position.
Element x y z (fractional)
Bi 0.7500 0.2500 0.5000  4 Sn 2.98
Bi 0.0000 0.0000 0.0000  4 Sn 2.98
Sn 0.6003 0.1250 0.2500  2 Li 2.76, 2 Bi 2.98
Sn 0.8750 0.8503 0.7500  2 Li 2.76, 2 Bi 2.98
Sn 0.3750 0.3997 0.7500  2 Li 2.76, 2 Bi 2.98
Sn 0.1497 0.6250 0.2500  2 Li 2.76, 2 Bi 2.98
Li 0.2500 0.7500 0.5000  4 Sn 2.76
Li 0.5000 0.5000 0.0000  4 Sn 2.76

***

Record 9
Below is crystalline Li6SnBi2 at its relaxed geometry, with properties calculated at the PBE level.

- Energy relative to the elements: -389 meV/atom

Cell lengths 4.8849, 8.0858, 6.8464 Å; angles 126.19, 111.26, 90.00 degrees
Closest atoms and distances in Å follow each position.
Element x y z (fractional)
Bi 0.3267 0.3273 0.6546  8 Li 2.91-2.98, 1 Sn 3.23
Bi 0.6733 0.6727 0.3454  8 Li 2.91-2.98, 1 Sn 3.23
Li 0.1639 0.4688 0.3268  3 Bi 2.91-2.95, 1 Sn 2.95, 6 Li 3.05-3.23
Li 0.5000 0.8029 0.0000  2 Sn 2.92, 2 Bi 2.98, 5 Li 3.05-3.19
Li 0.1639 0.8580 0.3268  3 Bi 2.91-2.95, 1 Sn 2.95, 6 Li 3.05-3.23
Li 0.8361 0.5312 0.6732  3 Bi 2.91-2.95, 1 Sn 2.95, 6 Li 3.05-3.23
Li 0.8361 0.1420 0.6732  3 Bi 2.91-2.95, 1 Sn 2.95, 6 Li 3.05-3.23
Li 0.5000 0.1971 0.0000  2 Sn 2.92, 2 Bi 2.98, 5 Li 3.05-3.19
Sn 0.0000 0.0000 0.0000  8 Li 2.92-2.95, 2 Bi 3.23

***

Record 10
Below is crystalline LiSnBi at its relaxed geometry, with properties calculated at the PBE level.

- Energy relative to the elements: -188 meV/atom
- Offset from the most stable computed form: 21.4 meV per atom

Cell lengths 4.8012, 4.8012, 4.8012 Å; angles 60.00, 60.00, 60.00 degrees
Closest atoms and distances in Å follow each position.
Element x y z (fractional)
Bi 0.0000 0.0000 0.0000  4 Li 2.94
Sn 0.5000 0.5000 0.5000  4 Li 2.94
Li 0.2500 0.2500 0.2500  4 Sn 2.94, 4 Bi 2.94